First-principles (GGA+U) data for Co3GeO after structural relaxation, as listed in the Alexandria database.

The energy relative to the lowest polymorph listed for this composition comes out at 1175 meV/atom. As for the density of states at the Fermi level: 0.89 states/eV/atom. The crystal system is cubic.

Cell lengths 4.508, 4.508, 4.508 Å; angles 90.00, 90.00, 90.00 degrees
Atoms (fractional coordinates):
Co (0.000, 0.000, 0.500)
Co (0.000, 0.500, 0.000)
Co (0.500, 0.000, 0.000)
Ge (0.000, 0.000, 0.000)
O (0.500, 0.500, 0.500)